(1)
# Ac2TbPr7

A relaxed structure of Ac2TbPr7 (GGA-PBE, the Alexandria database).

As for the formation energy from the elements: 0.14 eV per atom. For the spin magnetization, the calculation gives 0.00 μB per formula unit. The value obtained for the energy above the lowest structure with this stoichiometry is 0 meV per atom.

abc: 15.5471 15.5471 3.6234
angles: 90.00 90.00 154.29
Sites, in units of the cell vectors:
Ac: 0.2053 0.7947 0.0000
Ac: 0.7947 0.2053 0.0000
Tb: 0.5000 0.5000 0.5000
Pr: 0.0000 0.0000 0.0000
Pr: 0.1617 0.3533 0.0000
Pr: 0.3158 0.6842 0.5000
Pr: 0.3533 0.1617 0.0000
Pr: 0.6467 0.8383 0.0000
Pr: 0.6842 0.3158 0.5000
Pr: 0.8383 0.6467 0.0000

***

(2)
# Ac2Tb8Pr3

A relaxed structure of Ac2Tb8Pr3 (GGA-PBE, the Alexandria database).

As for the formation energy from the elements: 0.27 eV per atom. For the spin magnetization, the calculation gives 0.00 μB per formula unit.

abc: 12.9234 12.9234 12.9234
angles: 29.95 29.95 29.95
Sites, in units of the cell vectors:
Ac: 0.1384 0.1384 0.1384
Ac: 0.8616 0.8616 0.8616
Tb: 0.2209 0.2209 0.7218
Tb: 0.2209 0.7218 0.2209
Tb: 0.2286 0.2286 0.2286
Tb: 0.2782 0.7791 0.7791
Tb: 0.7218 0.2209 0.2209
Tb: 0.7714 0.7714 0.7714
Tb: 0.7791 0.2782 0.7791
Tb: 0.7791 0.7791 0.2782
Pr: 0.3126 0.3126 0.3126
Pr: 0.5000 0.5000 0.5000
Pr: 0.6874 0.6874 0.6874

***

(3)
# Ac10Tb4Pr

A relaxed structure of Ac10Tb4Pr (GGA-PBE, the Alexandria database).

As for the formation energy from the elements: 0.58 eV per atom. For the spin magnetization, the calculation gives 0.00 μB per formula unit.

abc: 10.1668 10.1668 10.1668
angles: 99.58 99.58 131.85
Sites, in units of the cell vectors:
Ac: 0.0471 0.3488 0.8988
Ac: 0.1482 0.0471 0.6983
Ac: 0.2500 0.7500 0.5000
Ac: 0.3488 0.4500 0.3017
Ac: 0.4500 0.1482 0.1012
Ac: 0.5500 0.8518 0.8988
Ac: 0.6512 0.5500 0.6983
Ac: 0.7500 0.2500 0.5000
Ac: 0.8518 0.9529 0.3017
Ac: 0.9529 0.6512 0.1012
Tb: 0.1003 0.6999 0.8002
Tb: 0.3001 0.1003 0.4003
Tb: 0.6999 0.8997 0.5997
Tb: 0.8997 0.3001 0.1998
Pr: 0.5000 0.5000 0.0000

***

(4)
# AcTb4Pr6

A relaxed structure of AcTb4Pr6 (GGA-PBE, the Alexandria database).

As for the formation energy from the elements: 0.31 eV per atom. For the spin magnetization, the calculation gives 0.00 μB per formula unit.

abc: 10.1225 10.1225 10.1225
angles: 141.44 141.44 55.67
Sites, in units of the cell vectors:
Ac: 0.0000 0.0000 0.0000
Tb: 0.0074 0.0074 0.3753
Tb: 0.3679 0.9926 0.0000
Tb: 0.6321 0.6321 0.6247
Tb: 0.9926 0.3679 0.0000
Pr: 0.0000 0.5000 0.5000
Pr: 0.1861 0.5466 0.0000
Pr: 0.4534 0.4534 0.6395
Pr: 0.5000 0.0000 0.5000
Pr: 0.5466 0.1861 0.0000
Pr: 0.8139 0.8139 0.3605

***

(5)
# AcTb12Pr6

A relaxed structure of AcTb12Pr6 (GGA-PBE, the Alexandria database).

As for the formation energy from the elements: 0.20 eV per atom. For the spin magnetization, the calculation gives 0.00 μB per formula unit.

abc: 8.8740 8.8740 8.8740
angles: 99.04 99.04 99.04
Sites, in units of the cell vectors:
Ac: 0.0000 0.0000 0.0000
Tb: 0.0798 0.3566 0.3566
Tb: 0.2426 0.5000 0.7574
Tb: 0.2426 0.7574 0.5000
Tb: 0.3566 0.0798 0.3566
Tb: 0.3566 0.3566 0.0798
Tb: 0.5000 0.2426 0.7574
Tb: 0.5000 0.7574 0.2426
Tb: 0.6434 0.6434 0.9202
Tb: 0.6434 0.9202 0.6434
Tb: 0.7574 0.2426 0.5000
Tb: 0.7574 0.5000 0.2426
Tb: 0.9202 0.6434 0.6434
Pr: 0.1019 0.1019 0.6521
Pr: 0.1019 0.6521 0.1019
Pr: 0.3479 0.8981 0.8981
Pr: 0.6521 0.1019 0.1019
Pr: 0.8981 0.3479 0.8981
Pr: 0.8981 0.8981 0.3479

***

(6)
# AcTb4Pr2

A relaxed structure of AcTb4Pr2 (GGA-PBE, the Alexandria database).

As for the formation energy from the elements: 0.04 eV per atom. For the spin magnetization, the calculation gives 0.00 μB per formula unit. The value obtained for the energy above the lowest structure with this stoichiometry is 0 meV per atom.

abc: 6.9885 8.6986 9.4650
angles: 65.65 71.32 76.59
Sites, in units of the cell vectors:
Ac: 0.0000 0.0000 0.0000
Ac: 0.4712 0.8979 0.1375
Tb: 0.0367 0.1855 0.2730
Tb: 0.1824 0.7570 0.5639
Tb: 0.4354 0.7087 0.8615
Tb: 0.5664 0.2902 0.1521
Tb: 0.7181 0.8508 0.4445
Tb: 0.7556 0.0422 0.6949
Tb: 0.8562 0.4287 0.7220
Tb: 0.9067 0.6092 0.9802
Pr: 0.1357 0.5591 0.2970
Pr: 0.2850 0.1360 0.5738
Pr: 0.3373 0.3381 0.8392
Pr: 0.6179 0.4710 0.4168

***

(7)
# Ac2Tb4Pr

A relaxed structure of Ac2Tb4Pr (GGA-PBE, the Alexandria database).

As for the formation energy from the elements: 0.22 eV per atom. For the spin magnetization, the calculation gives 0.00 μB per formula unit.

abc: 6.5493 13.4277 5.8972
angles: 90.00 90.00 90.00
Sites, in units of the cell vectors:
Ac: 0.1822 0.1776 0.0000
Ac: 0.3178 0.6776 0.0000
Ac: 0.6822 0.3224 0.0000
Ac: 0.8178 0.8224 0.0000
Tb: 0.0047 0.3323 0.5000
Tb: 0.1974 0.4317 0.0000
Tb: 0.3026 0.9317 0.0000
Tb: 0.4953 0.8323 0.5000
Tb: 0.5047 0.1677 0.5000
Tb: 0.6974 0.0683 0.0000
Tb: 0.8026 0.5683 0.0000
Tb: 0.9953 0.6677 0.5000
Pr: 0.0000 0.0000 0.5000
Pr: 0.5000 0.5000 0.5000

***

(8)
# AcTb3Pr2

A relaxed structure of AcTb3Pr2 (GGA-PBE, the Alexandria database).

As for the formation energy from the elements: 0.21 eV per atom. For the spin magnetization, the calculation gives 0.00 μB per formula unit.

abc: 7.9537 7.9537 6.7826
angles: 90.00 90.00 88.19
Sites, in units of the cell vectors:
Ac: 0.1111 0.8889 0.7500
Ac: 0.8889 0.1111 0.2500
Tb: 0.2553 0.2553 0.0000
Tb: 0.2553 0.2553 0.5000
Tb: 0.4285 0.5715 0.7500
Tb: 0.5715 0.4285 0.2500
Tb: 0.7447 0.7447 0.0000
Tb: 0.7447 0.7447 0.5000
Pr: 0.1017 0.5996 0.2500
Pr: 0.4004 0.8983 0.2500
Pr: 0.5996 0.1017 0.7500
Pr: 0.8983 0.4004 0.7500

***

(9)
# AcTb3Pr6

A relaxed structure of AcTb3Pr6 (GGA-PBE, the Alexandria database).

As for the formation energy from the elements: 0.07 eV per atom. For the spin magnetization, the calculation gives 0.00 μB per formula unit. The value obtained for the energy above the lowest structure with this stoichiometry is 0 meV per atom.

abc: 12.9529 3.7404 14.9797
angles: 90.00 96.46 90.00
Sites, in units of the cell vectors:
Ac: 0.1563 0.2500 0.3678
Ac: 0.8437 0.7500 0.6322
Tb: 0.0448 0.2500 0.7920
Tb: 0.4382 0.2500 0.3181
Tb: 0.4600 0.2500 0.0924
Tb: 0.5400 0.7500 0.9076
Tb: 0.5618 0.7500 0.6819
Tb: 0.9552 0.7500 0.2080
Pr: 0.1013 0.2500 0.0340
Pr: 0.1091 0.7500 0.5836
Pr: 0.2571 0.7500 0.1843
Pr: 0.2748 0.7500 0.9242
Pr: 0.3339 0.2500 0.7279
Pr: 0.3723 0.7500 0.5073
Pr: 0.6277 0.2500 0.4927
Pr: 0.6661 0.7500 0.2721
Pr: 0.7252 0.2500 0.0758
Pr: 0.7429 0.2500 0.8157
Pr: 0.8909 0.2500 0.4164
Pr: 0.8987 0.7500 0.9660

***

(10)
# Ac4Tb4Pr3

A relaxed structure of Ac4Tb4Pr3 (GGA-PBE, the Alexandria database).

As for the formation energy from the elements: 0.04 eV per atom. For the spin magnetization, the calculation gives 0.00 μB per formula unit.

abc: 3.7203 5.8410 19.2797
angles: 98.69 90.01 90.00
Sites, in units of the cell vectors:
Ac: 0.0000 0.0000 0.0000
Ac: 0.9999 0.3719 0.7402
Ac: 0.5021 0.8156 0.6289
Ac: 0.5035 0.1839 0.3656
Tb: 0.0026 0.2737 0.5448
Tb: 0.0032 0.6361 0.2715
Tb: 0.4994 0.9133 0.8245
Tb: 0.5022 0.5553 0.1086
Pr: 0.0028 0.0943 0.1871
Pr: 0.0034 0.7284 0.4537
Pr: 0.4996 0.4587 0.9167

***

(11)
# AcTb4Pr5

A relaxed structure of AcTb4Pr5 (GGA-PBE, the Alexandria database).

As for the formation energy from the elements: 0.16 eV per atom. For the spin magnetization, the calculation gives 0.00 μB per formula unit. The value obtained for the energy above the lowest structure with this stoichiometry is 61 meV per atom.

abc: 9.3102 9.3102 11.0163
angles: 96.38 96.38 22.57
Sites, in units of the cell vectors:
Ac: 0.0000 0.0000 0.0000
Tb: 0.1883 0.1883 0.8981
Tb: 0.4526 0.4526 0.2447
Tb: 0.5474 0.5474 0.7553
Tb: 0.8117 0.8117 0.1019
Pr: 0.0000 0.0000 0.5000
Pr: 0.3073 0.3073 0.4006
Pr: 0.3599 0.3599 0.7556
Pr: 0.6401 0.6401 0.2444
Pr: 0.6927 0.6927 0.5994

***

(12)
# Ac4Tb2Pr5

A relaxed structure of Ac4Tb2Pr5 (GGA-PBE, the Alexandria database).

As for the formation energy from the elements: 0.17 eV per atom. For the spin magnetization, the calculation gives 0.00 μB per formula unit.

abc: 12.0105 12.0105 10.2510
angles: 106.88 106.88 18.00
Sites, in units of the cell vectors:
Ac: 0.0446 0.0446 0.1938
Ac: 0.3914 0.3914 0.0961
Ac: 0.6086 0.6086 0.9039
Ac: 0.9554 0.9554 0.8062
Tb: 0.2362 0.2362 0.8658
Tb: 0.7638 0.7638 0.1342
Pr: 0.1349 0.1349 0.5759
Pr: 0.2118 0.2118 0.3472
Pr: 0.5000 0.5000 0.5000
Pr: 0.7882 0.7882 0.6528
Pr: 0.8651 0.8651 0.4241

***

no.,DOS at the Fermi energy (states/eV/f.u.)
1,15.72
2,21.57
3,23.93
4,17.90
5,29.86
6,11.66
7,10.61
8,8.76
9,14.92
10,16.36
11,15.67
12,16.00